## SrHPb (PBE-GGA)

Data for crystalline SrHPb at its relaxed geometry.

abc: 5.0720 9.3632 12.7548
angles: 88.38 89.49 89.98
Closest atoms and distances in Å follow each position.
Space group P1 (No. 1)
Unique sites:
Sr 0.0000 0.0000 0.0000 [1 per cell]  4 H 2.55-2.63
Sr 0.0014 0.8077 0.3061 [1 per cell]  3 H 2.42-2.60
Sr 0.0093 0.1141 0.5185 [1 per cell]  1 H 2.59
Sr 0.0149 0.5771 0.5645 [1 per cell]  4 H 2.45-2.71
Sr 0.4924 0.6158 0.8206 [1 per cell]  3 H 2.47-2.57
Sr 0.4954 0.0754 0.7815 [1 per cell]  4 H 2.48-2.67
Sr 0.5057 0.4470 0.3311 [1 per cell]  2 H 2.52-2.64
Sr 0.9934 0.5423 0.0666 [1 per cell]  3 H 2.57-2.66
H 0.0441 0.5642 0.3728 [1 per cell]  3 Sr 2.42-2.64
H 0.2720 0.8532 0.8663 [1 per cell]  1 Pb 2.10
H 0.4989 0.5580 0.0111 [1 per cell]  2 Pb 2.41-2.68, 3 Sr 2.47-2.66
H 0.5030 0.0641 0.9758 [1 per cell]  1 Pb 2.27, 1 Sr 2.48
H 0.5150 0.5368 0.6317 [1 per cell]  1 Pb 2.00
H 0.6851 0.6394 0.2085 [1 per cell]  1 Pb 2.07
H 0.9323 0.8438 0.4919 [1 per cell]  1 Pb 2.22, 1 Sr 2.43
H 0.9945 0.1380 0.8249 [1 per cell]  1 Pb 2.02
Pb 0.0137 0.2170 0.2149 [1 per cell]  2 Pb 3.15-3.18, 1 Sr 3.46
Pb 0.4997 0.3000 0.0138 [1 per cell]  2 H 2.27-2.41
Pb 0.5067 0.7995 0.1190 [1 per cell]  1 H 2.07
Pb 0.5071 0.8521 0.5326 [1 per cell]  1 H 2.22
Pb 0.5087 0.0525 0.3052 [1 per cell]  4 Pb 3.15-3.41, 2 Sr 3.39-3.45
Pb 0.5124 0.3311 0.5936 [1 per cell]  1 H 2.00
Pb 0.9913 0.8384 0.7468 [1 per cell]  1 H 2.10
Pb 0.9994 0.3533 0.8264 [1 per cell]  1 H 2.02

* DOS(E_F): 0.253 states/eV per atom
* M_tot: 0.000 μB/atom
* ΔE to the lowest computed polymorph: 188.0 meV/atom